Computed, not measured: TlVClO2 after structural relaxation at the PBE+U level of DFT.

Lattice parameters (Å, degrees): 3.819 7.612 8.121 101.80 90.00 90.00
Each line ends with the local moment (μB).
Fractional positions:
Tl: 0.750 0.254 0.614  0.00
Tl: 0.250 0.746 0.386  0.00
V: 0.250 0.920 0.859  1.08
V: 0.750 0.080 0.141  1.08
Cl: 0.750 0.391 0.259  -0.01
Cl: 0.250 0.609 0.741  -0.01
O: 0.750 0.912 0.928  -0.02
O: 0.250 0.088 0.072  -0.02
O: 0.250 0.020 0.691  -0.08
O: 0.750 0.980 0.309  -0.08

Total energy, eV/cell: -58.17
SG: P2_1/m, No. 11